# 1
Entry from Alexandria via LeMat-Bulk: a geometry-optimized InFe2Tc structure (PBE).

The theoretical density comes out at 9198 kg/m3. As for the total energy: -7.19 eV/atom. The calculation puts the density of states at the Fermi level at 4.11 states/eV per cell.

a = 4.5851 Å, b = 4.5851 Å, c = 4.5851 Å
α = 127.68°, β = 127.68°, γ = 77.14°
Last column: nearest neighbours and their distance in Å.
Element x y z (fractional)
Tc 0.7500 0.2500 0.5000  8 Fe 2.70, 4 In 2.86
Fe 0.0000 0.0000 0.0000  4 In 2.70, 4 Tc 2.70, 4 Fe 2.86
Fe 0.5000 0.5000 0.0000  4 Tc 2.70, 4 In 2.70, 4 Fe 2.86
In 0.2500 0.7500 0.5000  8 Fe 2.70, 4 Tc 2.86

# 2
Entry from Alexandria via LeMat-Bulk: a geometry-optimized In4FeTc structure (PBE).

The theoretical density comes out at 7945 kg/m3. As for the total energy: -4.04 eV/atom. The calculation puts the density of states at the Fermi level at 5.59 states/eV per cell.

a = 5.6589 Å, b = 5.6589 Å, c = 5.6589 Å
α = 60.00°, β = 60.00°, γ = 60.00°
Last column: nearest neighbours and their distance in Å.
Element x y z (fractional)
In 0.3751 0.8747 0.3751  6 In 2.83
In 0.8747 0.3751 0.3751  6 In 2.83
In 0.3751 0.3751 0.3751  6 In 2.83
In 0.3751 0.3751 0.8747  6 In 2.83
Fe 0.0000 0.0000 0.0000  12 In 3.32, 4 Tc 3.47
Tc 0.7500 0.7500 0.7500  12 In 3.32, 4 Fe 3.47

# 3
Entry from Alexandria via LeMat-Bulk: a geometry-optimized InFe2Tc structure (PBE).

The theoretical density comes out at 9102 kg/m3. As for the total energy: -7.11 eV/atom. The calculation puts the density of states at the Fermi level at 4.87 states/eV per cell.

a = 8.8404 Å, b = 8.8404 Å, c = 8.8404 Å
α = 18.25°, β = 18.25°, γ = 18.25°
Last column: nearest neighbours and their distance in Å.
Element x y z (fractional)
Fe 0.0050 0.0050 0.0050  3 Tc 2.61, 6 Fe 2.80, 3 In 2.81
Fe 0.4950 0.4950 0.4950  3 Tc 2.61, 6 Fe 2.80, 3 In 2.81
Tc 0.7500 0.7500 0.7500  6 Fe 2.61, 6 Tc 2.80
In 0.2500 0.2500 0.2500  6 In 2.80, 6 Fe 2.81

# 4
Entry from Alexandria via LeMat-Bulk: a geometry-optimized InFe2Tc structure (PBE).

The theoretical density comes out at 8904 kg/m3. As for the total energy: -7.14 eV/atom. The calculation puts the density of states at the Fermi level at 4.62 states/eV per cell.

a = 8.6671 Å, b = 8.6671 Å, c = 8.6671 Å
α = 19.03°, β = 19.03°, γ = 19.03°
Last column: nearest neighbours and their distance in Å.
Element x y z (fractional)
Fe 0.9983 0.9983 0.9983  3 Fe 2.49, 3 Tc 2.55
Fe 0.2588 0.2588 0.2588  3 Fe 2.49
In 0.5019 0.5019 0.5019  3 Fe 2.84, 6 In 2.87, 3 Tc 2.92
Tc 0.7411 0.7411 0.7411  3 Fe 2.55